(1)
A geometry-optimized La2TbThBi5 structure, computed with PBE-GGA.

As for the formation energy: -86 meV/atom. The density of states at the Fermi level comes out at 0.83 states/eV/atom.

```
9
Lattice="5.768 0.000 0.000 0.000 5.768 0.000 0.000 0.000 11.936" Properties=species:S:1:pos:R:3 pbc="T T T"
Bi 2.884 0.000 5.968
Bi 0.000 0.000 9.033
Bi 2.884 2.884 0.000
Tb 0.000 0.000 0.000
Bi 0.000 2.884 5.968
La 2.884 2.884 8.525
Th 0.000 0.000 5.968
La 2.884 2.884 3.411
Bi 0.000 0.000 2.903
```



(2)
A geometry-optimized LaTcPb3 structure, computed with PBE-GGA.

The energy above the most stable polymorph in this dataset is 0 meV per atom. As for the formation energy: 249 meV/atom. The density of states at the Fermi level comes out at 1.03 states/eV/atom.

```
5
Lattice="-5.274 -0.766 -0.255 0.799 -4.712 -2.371 0.115 -2.382 4.773" Properties=species:S:1:pos:R:3 pbc="T T T"
Pb 0.058 -1.191 2.386
Pb 0.400 -2.356 -1.185
Tc 0.000 0.000 0.000
Pb -2.637 -0.383 -0.128
La -2.180 -3.930 1.073
```



(3)
A geometry-optimized Cs2LaAlI6 structure, computed with PBE-GGA.

The density of states at the Fermi level comes out at 0.00 states/eV/atom. The calculation puts the uncorrected formation energy at -12.2 eV per formula unit.

```
10
Lattice="8.998 0.000 0.000 0.000 8.998 0.000 4.499 4.499 6.364" Properties=species:S:1:pos:R:3 pbc="T T T"
Al 4.499 4.499 0.000
I 8.998 8.998 3.162
I 2.236 6.762 0.000
La 0.000 0.000 0.000
I 4.499 4.499 3.202
Cs 4.499 8.998 3.182
I 2.236 2.236 0.000
I 6.762 2.236 0.000
I 6.762 6.762 0.000
Cs 8.998 4.499 3.182
```